Record 1
This record from OQMD via LeMat-Bulk describes a geometry-optimized Pr2GdPb7 structure. The functional is PBE-GGA.

Output
SG: Cmmm (65)
DFT total energy, eV/atom: -4.4365

abc: 13.3195 13.3195 4.7933
angles: 90.00 90.00 159.42
Atoms (fractional coordinates):
Pr1 0.1876 0.8124 0.0000
Pr2 0.8124 0.1876 0.0000
Gd1 0.0000 0.0000 0.0000
Pb1 0.0953 0.9047 0.5000
Pb2 0.2929 0.7071 0.5000
Pb3 0.4055 0.5945 0.0000
Pb4 0.5000 0.5000 0.5000
Pb5 0.5945 0.4055 0.0000
Pb6 0.7071 0.2929 0.5000
Pb7 0.9047 0.0953 0.5000

Record 2
This record from OQMD via LeMat-Bulk describes a geometry-optimized LiSm3Pt8 structure. The functional is PBE-GGA.

Output
SG: R3m (160)
DFT total energy, eV/atom: -6.3540

abc: 9.4331 9.4331 9.4331
angles: 33.54 33.54 33.54
Atoms (fractional coordinates):
Li1 0.0000 0.0000 0.0000
Sm1 0.1248 0.1248 0.1248
Sm2 0.5117 0.5117 0.5117
Sm3 0.6403 0.6403 0.6403
Pt1 0.0721 0.0721 0.5712
Pt2 0.0721 0.5712 0.0721
Pt3 0.0744 0.5706 0.5706
Pt4 0.3221 0.3221 0.3221
Pt5 0.5712 0.0721 0.0721
Pt6 0.5706 0.0744 0.5706
Pt7 0.5706 0.5706 0.0744
Pt8 0.8219 0.8219 0.8219

Record 3
This record from OQMD via LeMat-Bulk describes a geometry-optimized CuIrPbS3 structure. The functional is PBE-GGA.

Output
SG: Cmcm (63)
DFT total energy, eV/atom: -5.0023

abc: 6.6096 6.6096 9.2910
angles: 90.00 90.00 146.72
Atoms (fractional coordinates):
Cu1 0.0416 0.9584 0.7500
Cu2 0.9584 0.0416 0.2500
Ir1 0.5000 0.5000 0.0000
Ir2 0.5000 0.5000 0.5000
Pb1 0.2472 0.7528 0.2500
Pb2 0.7528 0.2472 0.7500
S1 0.1216 0.8784 0.5304
S2 0.1216 0.8784 0.9696
S3 0.4306 0.5694 0.7500
S4 0.5694 0.4306 0.2500
S5 0.8784 0.1216 0.0304
S6 0.8784 0.1216 0.4696

Record 4
This record from OQMD via LeMat-Bulk describes a geometry-optimized Pr4GeI5 structure. The functional is PBE-GGA.

Output
SG: C2/m (12)
DFT total energy, eV/atom: -4.4181

abc: 10.1230 10.1230 9.1720
angles: 102.34 102.34 24.88
Atoms (fractional coordinates):
Pr1 0.0000 0.0000 0.2164
Pr2 0.0000 0.0000 0.7836
Pr3 0.3510 0.3510 0.9264
Pr4 0.6490 0.6490 0.0736
Ge1 0.5000 0.5000 0.0000
I1 0.1668 0.1668 0.3360
I2 0.1709 0.1709 0.8244
I3 0.5000 0.5000 0.5000
I4 0.8291 0.8291 0.1756
I5 0.8332 0.8332 0.6640

Record 5
This record from OQMD via LeMat-Bulk describes a geometry-optimized Rb2Ag2O5 structure. The functional is PBE-GGA.

Output
SG: P4/mmm (123)
DFT total energy, eV/atom: -3.8208
Energy above the lowest structure with this stoichiometry, meV per atom: 0

abc: 4.0110 4.0110 9.1583
angles: 90.00 90.00 90.00
Atoms (fractional coordinates):
Rb1 0.0000 0.0000 0.0000
Rb2 0.0000 0.0000 0.5000
Ag1 0.5000 0.5000 0.2261
Ag2 0.5000 0.5000 0.7739
O1 0.0000 0.5000 0.2734
O2 0.0000 0.5000 0.7266
O3 0.5000 0.0000 0.2734
O4 0.5000 0.0000 0.7266
O5 0.5000 0.5000 0.0000

Record 6
This record from OQMD via LeMat-Bulk describes a geometry-optimized Nb2CdSi structure. The functional is PBE-GGA.

Output
SG: F-43m (216)
DFT total energy, eV/atom: -6.2732

abc: 6.5499 6.5499 6.5499
angles: 90.00 90.00 90.00
Atoms (fractional coordinates):
Nb1 0.0000 0.0000 0.0000
Nb2 0.0000 0.5000 0.5000
Nb3 0.2500 0.2500 0.2500
Nb4 0.2500 0.7500 0.7500
Nb5 0.5000 0.0000 0.5000
Nb6 0.5000 0.5000 0.0000
Nb7 0.7500 0.2500 0.7500
Nb8 0.7500 0.7500 0.2500
Cd1 0.2500 0.2500 0.7500
Cd2 0.2500 0.7500 0.2500
Cd3 0.7500 0.2500 0.2500
Cd4 0.7500 0.7500 0.7500
Si1 0.0000 0.0000 0.5000
Si2 0.0000 0.5000 0.0000
Si3 0.5000 0.0000 0.0000
Si4 0.5000 0.5000 0.5000

Record 7
This record from OQMD via LeMat-Bulk describes a geometry-optimized Ho5Er3Te structure. The functional is PBE-GGA.

Output
SG: P-62m (189)
DFT total energy, eV/atom: -4.6914

abc: 9.1398 9.1398 3.7460
angles: 90.00 90.00 120.00
Atoms (fractional coordinates):
Ho1 0.0000 0.6164 0.0000
Ho2 0.3333 0.6667 0.5000
Ho3 0.3836 0.3836 0.0000
Ho4 0.6164 0.0000 0.0000
Ho5 0.6667 0.3333 0.5000
Er1 0.0000 0.2742 0.5000
Er2 0.2742 0.0000 0.5000
Er3 0.7258 0.7258 0.5000
Te1 0.0000 0.0000 0.0000

Record 8
This record from OQMD via LeMat-Bulk describes a geometry-optimized Cs2SrFeC6N6 structure. The functional is PBE-GGA.

Output
SG: P2_1/c (14)
DFT total energy, eV/atom: -7.6858

abc: 7.5829 7.7381 13.2794
angles: 90.00 124.69 90.00
Atoms (fractional coordinates):
Cs1 0.2416 0.0418 0.2497
Cs2 0.2416 0.4582 0.7497
Cs3 0.7584 0.5418 0.2503
Cs4 0.7584 0.9582 0.7503
Sr1 0.0000 0.0000 0.5000
Sr2 0.0000 0.5000 0.0000
Fe1 0.5000 0.0000 0.0000
Fe2 0.5000 0.5000 0.5000
C1 0.2765 0.1354 0.9776
C2 0.2765 0.3646 0.4776
C3 0.3401 0.6987 0.4749
C4 0.3401 0.8013 0.9749
C5 0.3802 0.0097 0.8327
C6 0.3802 0.4903 0.3327
C7 0.6198 0.5097 0.6673
C8 0.6198 0.9903 0.1673
C9 0.6599 0.1987 0.0251
C10 0.6599 0.3013 0.5251
C11 0.7235 0.6354 0.5224
C12 0.7235 0.8646 0.0224
N1 0.1317 0.2186 0.9616
N2 0.1317 0.2814 0.4616
N3 0.2385 0.6748 0.9571
N4 0.2385 0.8252 0.4571
N5 0.3068 0.0185 0.7268
N6 0.3068 0.4815 0.2268
N7 0.6932 0.5185 0.7732
N8 0.6932 0.9815 0.2732
N9 0.7615 0.1748 0.5429
N10 0.7615 0.3252 0.0429
N11 0.8683 0.7186 0.5384
N12 0.8683 0.7814 0.0384

Record 9
This record from OQMD via LeMat-Bulk describes a geometry-optimized LaAl2Au2 structure. The functional is PBE-GGA.

Output
SG: I4/mmm (139)
DFT total energy, eV/atom: -4.5484

abc: 4.3487 4.3487 11.2727
angles: 90.00 90.00 90.00
Atoms (fractional coordinates):
La1 0.0000 0.0000 0.0000
La2 0.5000 0.5000 0.5000
Al1 0.0000 0.5000 0.2500
Al2 0.0000 0.5000 0.7500
Al3 0.5000 0.0000 0.2500
Al4 0.5000 0.0000 0.7500
Au1 0.0000 0.0000 0.3757
Au2 0.0000 0.0000 0.6243
Au3 0.5000 0.5000 0.1243
Au4 0.5000 0.5000 0.8757

Record 10
This record from OQMD via LeMat-Bulk describes a geometry-optimized AlHPd3 structure. The functional is PBE-GGA.

Output
SG: Pnma (62)
DFT total energy, eV/atom: -5.0888
Energy above the lowest structure with this stoichiometry, meV per atom: 1

abc: 5.5804 7.9103 5.5932
angles: 90.00 90.00 90.00
Atoms (fractional coordinates):
Al1 0.0194 0.2500 0.0035
Al2 0.4806 0.7500 0.5035
Al3 0.5194 0.2500 0.4965
Al4 0.9806 0.7500 0.9965
H1 0.0000 0.0000 0.5000
H2 0.0000 0.5000 0.5000
H3 0.5000 0.0000 0.0000
H4 0.5000 0.5000 0.0000
Pd1 0.0024 0.7500 0.4573
Pd2 0.2238 0.5217 0.7762
Pd3 0.2238 0.9783 0.7762
Pd4 0.2762 0.0217 0.2762
Pd5 0.2762 0.4783 0.2762
Pd6 0.4976 0.2500 0.9573
Pd7 0.5024 0.7500 0.0427
Pd8 0.7238 0.5217 0.7238
Pd9 0.7238 0.9783 0.7238
Pd10 0.7762 0.0217 0.2238
Pd11 0.7762 0.4783 0.2238
Pd12 0.9976 0.2500 0.5427

Record 11
This record from OQMD via LeMat-Bulk describes a geometry-optimized Li4AlZn2Ga structure. The functional is PBE-GGA.

Output
SG: P-4m2 (115)
DFT total energy, eV/atom: -2.3838

abc: 4.3413 4.3413 6.1083
angles: 90.00 90.00 90.00
Atoms (fractional coordinates):
Li1 0.0000 0.0000 0.0000
Li2 0.0000 0.5000 0.2439
Li3 0.5000 0.0000 0.7561
Li4 0.5000 0.5000 0.5000
Al1 0.0000 0.0000 0.5000
Zn1 0.0000 0.5000 0.7501
Zn2 0.5000 0.0000 0.2499
Ga1 0.5000 0.5000 0.0000

Record 12
This record from OQMD via LeMat-Bulk describes a geometry-optimized Li2Cd2InPd2Pb structure. The functional is PBE-GGA.

Output
SG: P-4m2 (115)
DFT total energy, eV/atom: -3.1997

abc: 4.6966 4.6966 6.6200
angles: 90.00 90.00 90.00
Atoms (fractional coordinates):
Li1 0.0000 0.5000 0.2432
Li2 0.5000 0.0000 0.7568
Cd1 0.0000 0.0000 0.0000
Cd2 0.5000 0.5000 0.5000
In1 0.5000 0.5000 0.0000
Pd1 0.0000 0.5000 0.7613
Pd2 0.5000 0.0000 0.2387
Pb1 0.0000 0.0000 0.5000

Record 13
This record from OQMD via LeMat-Bulk describes a geometry-optimized PrNdNi8B2 structure. The functional is PBE-GGA.

Output
SG: P6/mmm (191)
DFT total energy, eV/atom: -6.0280
Energy above the lowest structure with this stoichiometry, meV per atom: 8

abc: 5.0864 5.0864 7.0038
angles: 90.00 90.00 120.00
Atoms (fractional coordinates):
Pr1 0.0000 0.0000 0.0000
Nd1 0.0000 0.0000 0.5000
Ni1 0.0000 0.5000 0.2058
Ni2 0.0000 0.5000 0.7942
Ni3 0.3333 0.6667 0.5000
Ni4 0.5000 0.0000 0.2058
Ni5 0.5000 0.0000 0.7942
Ni6 0.5000 0.5000 0.2058
Ni7 0.5000 0.5000 0.7942
Ni8 0.6667 0.3333 0.5000
B1 0.3333 0.6667 0.0000
B2 0.6667 0.3333 0.0000

Record 14
This record from OQMD via LeMat-Bulk describes a geometry-optimized CuSeF structure. The functional is PBE-GGA.

Output
SG: Pmn2_1 (31)
DFT total energy, eV/atom: -3.7523
Energy above the lowest structure with this stoichiometry, meV per atom: 38

abc: 3.5192 5.8501 4.3504
angles: 90.00 90.00 90.00
Atoms (fractional coordinates):
Cu1 0.0000 0.1915 0.0000
Cu2 0.5000 0.8085 0.5000
Se1 0.0000 0.5363 0.2776
Se2 0.5000 0.4637 0.7776
F1 0.0000 0.9744 0.6518
F2 0.5000 0.0256 0.1518

Record 15
This record from OQMD via LeMat-Bulk describes a geometry-optimized Sm4Hg5Ir2 structure. The functional is PBE-GGA.

Output
SG: P2/m (10)
E_form, eV per formula unit: -5.87
DFT total energy, eV/atom: -3.9918

abc: 7.7399 3.7169 9.6509
angles: 90.00 94.89 90.00
Atoms (fractional coordinates):
Sm1 0.1809 0.0000 0.3501
Sm2 0.2188 0.0000 0.9395
Sm3 0.7812 0.0000 0.0605
Sm4 0.8191 0.0000 0.6499
Hg1 0.1695 0.5000 0.6441
Hg2 0.4576 0.5000 0.1698
Hg3 0.5000 0.5000 0.5000
Hg4 0.5424 0.5000 0.8302
Hg5 0.8305 0.5000 0.3559
Ir1 0.0773 0.5000 0.1398
Ir2 0.9227 0.5000 0.8602